No. 1
# Sr2HgPdPt | Alexandria | PBE | relaxed
data_Sr2HgPdPt
_symmetry_space_group_name_H-M 'P 4/m m m'
_symmetry_Int_Tables_number 123
_symmetry_space_group_name_Hall '-P 4 2'
_cell_length_a 5.9446
_cell_length_b 5.9446
_cell_length_c 4.9261
_cell_angle_alpha 90.00
_cell_angle_beta 90.00
_cell_angle_gamma 90.00
loop_
_atom_site_label
_atom_site_fract_x
_atom_site_fract_y
_atom_site_fract_z
Sr1 0.0000 0.5000 0.0000
Hg1 0.0000 0.0000 0.0000
Pd1 0.0000 0.0000 0.5000
Pt1 0.5000 0.5000 0.5000
# Energy of formation = 1.04 eV/f.u.
# Crystal system = tetragonal
# Total magnetization = 0.000 μB per formula unit
# VASP energy = -13.9 eV/cell
# Energy above the most stable polymorph in this dataset = 0.027 eV/atom



No. 2
# Sr2HgPdPt | Alexandria | PBE | relaxed
data_Sr2HgPdPt
_symmetry_space_group_name_H-M 'P 4/m m m'
_symmetry_Int_Tables_number 123
_symmetry_space_group_name_Hall '-P 4 2'
_cell_length_a 5.9473
_cell_length_b 5.9473
_cell_length_c 5.0056
_cell_angle_alpha 90.00
_cell_angle_beta 90.00
_cell_angle_gamma 90.00
loop_
_atom_site_label
_atom_site_fract_x
_atom_site_fract_y
_atom_site_fract_z
Sr1 0.0000 0.5000 0.0000
Hg1 0.0000 0.0000 0.0000
Pd1 0.5000 0.5000 0.5000
Pt1 0.0000 0.0000 0.5000
# Energy of formation = 0.91 eV/f.u.
# Crystal system = tetragonal
# Total magnetization = 0.000 μB per formula unit
# VASP energy = -14.0 eV/cell
# Energy above the most stable polymorph in this dataset = 0.000 eV/atom



No. 3
# Th2HgPdPt | Alexandria | PBE | relaxed
data_Th2HgPdPt
_symmetry_space_group_name_H-M 'P 1 21/m 1'
_symmetry_Int_Tables_number 11
_symmetry_space_group_name_Hall '-P 2yb'
_cell_length_a 8.0054
_cell_length_b 4.0062
_cell_length_c 8.4298
_cell_angle_alpha 90.00
_cell_angle_beta 111.77
_cell_angle_gamma 90.00
loop_
_atom_site_label
_atom_site_fract_x
_atom_site_fract_y
_atom_site_fract_z
Th1 0.1604 0.2500 0.3810
Th2 0.3084 0.2500 0.0167
Hg1 0.2889 0.7500 0.6992
Pd1 0.4609 0.7500 0.3526
Pt1 0.0992 0.7500 0.1148
# Energy of formation = -3.42 eV/f.u.
# Crystal system = monoclinic
# Total magnetization = 0.000 μB per formula unit
# VASP energy = -59.6 eV/cell



No. 4
# Tl6Hg2PdPt | Alexandria | PBE | relaxed
data_Tl6Hg2PdPt
_symmetry_space_group_name_H-M 'P -1'
_symmetry_Int_Tables_number 2
_symmetry_space_group_name_Hall '-P 1'
_cell_length_a 7.2271
_cell_length_b 7.5062
_cell_length_c 7.5645
_cell_angle_alpha 92.08
_cell_angle_beta 118.44
_cell_angle_gamma 118.45
loop_
_atom_site_label
_atom_site_fract_x
_atom_site_fract_y
_atom_site_fract_z
Tl1 0.0090 0.1925 0.1660
Tl2 0.3462 0.6693 0.6844
Tl3 0.4748 0.2296 0.7295
Hg1 0.0152 0.7681 0.2659
Pd1 0.5000 0.5000 0.5000
Pt1 0.5000 0.0000 0.0000
# Energy of formation = -0.48 eV/f.u.
# Crystal system = triclinic
# Total magnetization = 0.000 μB per formula unit
# VASP energy = -26.5 eV/cell



No. 5
# TlHgPdPt2 | Alexandria | PBE | relaxed
data_TlHgPdPt2
_symmetry_space_group_name_H-M 'P 4/m m m'
_symmetry_Int_Tables_number 123
_symmetry_space_group_name_Hall '-P 4 2'
_cell_length_a 5.0028
_cell_length_b 5.0028
_cell_length_c 5.1135
_cell_angle_alpha 90.00
_cell_angle_beta 90.00
_cell_angle_gamma 90.00
loop_
_atom_site_label
_atom_site_fract_x
_atom_site_fract_y
_atom_site_fract_z
Tl1 0.0000 0.0000 0.0000
Hg1 0.5000 0.5000 0.0000
Pd1 0.5000 0.5000 0.5000
Pt1 0.0000 0.5000 0.5000
# Energy of formation = 3.60 eV/f.u.
# Crystal system = tetragonal
# Total magnetization = 0.764 μB per formula unit
# VASP energy = -16.3 eV/cell
# Energy above the most stable polymorph in this dataset = 0.000 eV/atom



No. 6
# TlHgPdPt2 | Alexandria | PBE | relaxed
data_TlHgPdPt2
_symmetry_space_group_name_H-M 'P 4/m m m'
_symmetry_Int_Tables_number 123
_symmetry_space_group_name_Hall '-P 4 2'
_cell_length_a 5.0084
_cell_length_b 5.0084
_cell_length_c 5.0733
_cell_angle_alpha 90.00
_cell_angle_beta 90.00
_cell_angle_gamma 90.00
loop_
_atom_site_label
_atom_site_fract_x
_atom_site_fract_y
_atom_site_fract_z
Tl1 0.0000 0.0000 0.0000
Hg1 0.5000 0.5000 0.0000
Pd1 0.0000 0.0000 0.5000
Pt1 0.0000 0.5000 0.5000
# Energy of formation = 4.00 eV/f.u.
# Crystal system = tetragonal
# Total magnetization = 0.000 μB per formula unit
# VASP energy = -15.9 eV/cell
# Energy above the most stable polymorph in this dataset = 0.081 eV/atom



No. 7
# TlHgPdPt | Alexandria | PBE | relaxed
data_TlHgPdPt
_symmetry_space_group_name_H-M 'F -4 3 m'
_symmetry_Int_Tables_number 216
_symmetry_space_group_name_Hall 'F -4 2 3'
_cell_length_a 6.7051
_cell_length_b 6.7051
_cell_length_c 6.7051
_cell_angle_alpha 90.00
_cell_angle_beta 90.00
_cell_angle_gamma 90.00
loop_
_atom_site_label
_atom_site_fract_x
_atom_site_fract_y
_atom_site_fract_z
Tl1 0.0000 0.0000 0.0000
Hg1 0.0000 0.0000 0.5000
Pd1 0.2500 0.2500 0.2500
Pt1 0.2500 0.2500 0.7500
# Energy of formation = -0.09 eV/f.u.
# Crystal system = cubic
# Total magnetization = 0.000 μB per formula unit
# VASP energy = -55.9 eV/cell



No. 8
# Tm4HgPd2Pt | Alexandria | PBE | relaxed
data_Tm4HgPd2Pt
_symmetry_space_group_name_H-M 'R -3 m'
_symmetry_Int_Tables_number 166
_symmetry_space_group_name_Hall '-R 3 2"'
_cell_length_a 4.9665
_cell_length_b 4.9665
_cell_length_c 24.2925
_cell_angle_alpha 90.00
_cell_angle_beta 90.00
_cell_angle_gamma 120.00
loop_
_atom_site_label
_atom_site_fract_x
_atom_site_fract_y
_atom_site_fract_z
Tm1 0.0000 0.0000 0.1195
Tm2 0.0000 0.0000 0.3703
Hg1 0.0000 0.0000 0.5000
Pd1 0.0000 0.0000 0.2461
Pt1 0.0000 0.0000 0.0000
# Energy of formation = -7.29 eV/f.u.
# Crystal system = trigonal
# Total magnetization = 0.000 μB per formula unit
# VASP energy = -125.7 eV/cell



No. 9
# Hg2PdPtW | Alexandria | PBE | relaxed
data_Hg2PdPtW
_symmetry_space_group_name_H-M 'P 4/m m m'
_symmetry_Int_Tables_number 123
_symmetry_space_group_name_Hall '-P 4 2'
_cell_length_a 5.0091
_cell_length_b 5.0091
_cell_length_c 4.8361
_cell_angle_alpha 90.00
_cell_angle_beta 90.00
_cell_angle_gamma 90.00
loop_
_atom_site_label
_atom_site_fract_x
_atom_site_fract_y
_atom_site_fract_z
Hg1 0.0000 0.5000 0.0000
Pd1 0.0000 0.0000 0.0000
Pt1 0.5000 0.5000 0.5000
W1 0.0000 0.0000 0.5000
# Energy of formation = 7.08 eV/f.u.
# Crystal system = tetragonal
# Total magnetization = 1.971 μB per formula unit
# VASP energy = -17.7 eV/cell



No. 10
# Pu3Hg2Pd3 | Alexandria | PBE | relaxed
data_Pu3Hg2Pd3
_symmetry_space_group_name_H-M 'I m m m'
_symmetry_Int_Tables_number 71
_symmetry_space_group_name_Hall '-I 2 2'
_cell_length_a 3.6326
_cell_length_b 4.9807
_cell_length_c 19.8204
_cell_angle_alpha 90.00
_cell_angle_beta 90.00
_cell_angle_gamma 90.00
loop_
_atom_site_label
_atom_site_fract_x
_atom_site_fract_y
_atom_site_fract_z
Pu1 0.0000 0.0000 0.0000
Pu2 0.0000 0.5000 0.1238
Hg1 0.0000 0.0000 0.2350
Pd1 0.0000 0.0000 0.5000
Pd2 0.0000 0.5000 0.3818
# Energy of formation = -2.32 eV/f.u.
# Crystal system = orthorhombic
# Total magnetization = 16.743 μB per formula unit
# VASP energy = -123.0 eV/cell
# Energy above the most stable polymorph in this dataset = 0.000 eV/atom



No. 11
# PuHg2Pd6 | Alexandria | PBE | relaxed
data_PuHg2Pd6
_symmetry_space_group_name_H-M 'R 3 m'
_symmetry_Int_Tables_number 160
_symmetry_space_group_name_Hall 'R 3 -2"'
_cell_length_a 5.6121
_cell_length_b 5.6121
_cell_length_c 20.0771
_cell_angle_alpha 90.00
_cell_angle_beta 90.00
_cell_angle_gamma 120.00
loop_
_atom_site_label
_atom_site_fract_x
_atom_site_fract_y
_atom_site_fract_z
Pu1 0.0000 0.0000 0.0000
Hg1 0.0000 0.0000 0.2416
Hg2 0.0000 0.0000 0.4192
Pd1 0.0034 0.5017 0.4426
Pd2 0.0083 0.5042 0.2237
# Energy of formation = -1.03 eV/f.u.
# Crystal system = trigonal
# Total magnetization = 4.508 μB per formula unit
# VASP energy = -141.4 eV/cell



No. 12
# Pu2Hg2Pd | Alexandria | PBE | relaxed
data_Pu2Hg2Pd
_symmetry_space_group_name_H-M 'I 41/a m d'
_symmetry_Int_Tables_number 141
_cell_length_a 4.6609
_cell_length_b 4.6609
_cell_length_c 24.0110
_cell_angle_alpha 90.00
_cell_angle_beta 90.00
_cell_angle_gamma 90.00
loop_
_symmetry_equiv_pos_as_xyz
'x,y,z'
'-x,-y,-z'
'-y+1/4,x+3/4,z+1/4'
'y+1/4,-x+3/4,-z+1/4'
'-x+1/2,-y,z+1/2'
'x+1/2,y,-z+1/2'
'y+1/4,-x+1/4,z+3/4'
'-y+1/4,x+1/4,-z+3/4'
'x,-y,-z'
'-x,y,z'
'-y+1/4,-x+1/4,-z+3/4'
'y+1/4,x+1/4,z+3/4'
'-x+1/2,y,-z+1/2'
'x+1/2,-y,z+1/2'
'y+1/4,x+3/4,-z+1/4'
'-y+1/4,-x+3/4,z+1/4'
'x+1/2,y+1/2,z+1/2'
'-x+1/2,-y+1/2,-z+1/2'
'-y+3/4,x+1/4,z+3/4'
'y+3/4,-x+1/4,-z+3/4'
'-x,-y+1/2,z'
'x,y+1/2,-z'
'y+3/4,-x+3/4,z+1/4'
'-y+3/4,x+3/4,-z+1/4'
'x+1/2,-y+1/2,-z+1/2'
'-x+1/2,y+1/2,z+1/2'
'-y+3/4,-x+3/4,-z+1/4'
'y+3/4,x+3/4,z+1/4'
'-x,y+1/2,-z'
'x,-y+1/2,z'
'y+3/4,x+1/4,-z+3/4'
'-y+3/4,-x+1/4,z+3/4'
loop_
_atom_site_label
_atom_site_fract_x
_atom_site_fract_y
_atom_site_fract_z
Pu1 0.0000 0.2500 0.0540
Hg1 0.0000 0.2500 0.1996
Pd1 0.0000 0.2500 0.3750
# Energy of formation = -0.53 eV/f.u.
# Crystal system = tetragonal
# Total magnetization = 12.217 μB per formula unit
# VASP energy = -140.0 eV/cell



Question: Number 1 is which compound?
Answer: Sr2HgPdPt



Question: Which of these has the lowest VASP energy?
Answer: PuHg2Pd6